(1)
# HoTmTe2

HoTmTe2 after structural relaxation (PBE-GGA, Alexandria).

* calculated total energy: -0.1852 Ha/atom
* DOS at the Fermi energy: 0.56 states/eV per atom
* ΔE_f (raw): -1.21 eV/atom
* relative energy among the computed polymorphs: 37.0 meV/atom

Lattice parameters (Å, degrees): 4.319 4.319 7.472 73.20 73.20 60.00
Positions (direct):
Tm (0.500, 0.500, 0.500)
Te (0.249, 0.249, 0.253)
Te (0.751, 0.751, 0.747)
Ho (0.000, 0.000, 0.000)

=====

(2)
# HoTm3Te2

HoTm3Te2 after structural relaxation (PBE-GGA, Alexandria).

* calculated total energy: -0.1773 Ha/atom
* DOS at the Fermi energy: 0.80 states/eV per atom
* ΔE_f (raw): -0.78 eV/atom

Lattice parameters (Å, degrees): 4.060 8.281 11.268 109.09 90.00 104.19
Positions (direct):
Ho (0.881, 0.762, 0.953)
Ho (0.119, 0.238, 0.047)
Tm (0.284, 0.568, 0.622)
Tm (0.941, 0.881, 0.596)
Tm (0.625, 0.250, 0.661)
Tm (0.375, 0.750, 0.339)
Tm (0.059, 0.119, 0.404)
Tm (0.716, 0.432, 0.378)
Te (0.486, 0.973, 0.833)
Te (0.514, 0.027, 0.167)
Te (0.770, 0.541, 0.140)
Te (0.230, 0.459, 0.860)

=====

(3)
# HoTm4Te5

HoTm4Te5 after structural relaxation (PBE-GGA, Alexandria).

* calculated total energy: -0.1837 Ha/atom
* DOS at the Fermi energy: 0.56 states/eV per atom
* ΔE_f (raw): -1.18 eV/atom
* relative energy among the computed polymorphs: 6.4 meV/atom

Lattice parameters (Å, degrees): 6.099 7.458 7.458 80.37 65.86 65.86
Positions (direct):
Ho (0.003, 0.000, 0.000)
Tm (0.397, 0.398, 0.810)
Tm (0.794, 0.810, 0.602)
Tm (0.207, 0.190, 0.398)
Tm (0.604, 0.602, 0.190)
Te (0.904, 0.402, 0.792)
Te (0.306, 0.792, 0.598)
Te (0.696, 0.208, 0.402)
Te (0.097, 0.598, 0.208)
Te (0.503, 0.000, 0.000)

=====

(4)
# Ho4TmTe5

Ho4TmTe5 after structural relaxation (PBE-GGA, Alexandria).

* calculated total energy: -0.1866 Ha/atom
* DOS at the Fermi energy: 0.49 states/eV per atom
* ΔE_f (raw): -1.23 eV/atom

Lattice parameters (Å, degrees): 6.101 7.508 7.508 80.50 66.03 66.03
Positions (direct):
Ho (0.409, 0.410, 0.775)
Ho (0.819, 0.775, 0.590)
Ho (0.184, 0.225, 0.410)
Ho (0.593, 0.590, 0.225)
Tm (0.001, 0.000, 0.000)
Te (0.892, 0.400, 0.819)
Te (0.291, 0.819, 0.600)
Te (0.711, 0.181, 0.400)
Te (0.111, 0.600, 0.181)
Te (0.501, 0.000, 0.000)

=====

(5)
# Ho5TmTe4

Ho5TmTe4 after structural relaxation (PBE-GGA, Alexandria).

* calculated total energy: -0.1790 Ha/atom
* DOS at the Fermi energy: 0.83 states/eV per atom
* ΔE_f (raw): -0.88 eV/atom

Lattice parameters (Å, degrees): 4.098 8.494 9.296 102.14 102.73 90.00
Positions (direct):
Ho (0.189, 0.361, 0.378)
Ho (0.164, 0.781, 0.328)
Ho (0.836, 0.219, 0.672)
Ho (0.500, 0.500, 0.000)
Ho (0.811, 0.639, 0.622)
Tm (0.500, 0.000, 0.000)
Te (0.667, 0.063, 0.335)
Te (0.012, 0.253, 0.024)
Te (0.333, 0.937, 0.665)
Te (0.988, 0.747, 0.976)

=====

(6)
# Ho3Tm4Te8

Ho3Tm4Te8 after structural relaxation (PBE-GGA, Alexandria).

* calculated total energy: -0.1869 Ha/atom
* DOS at the Fermi energy: 0.44 states/eV per atom
* ΔE_f (raw): -1.30 eV/atom

Lattice parameters (Å, degrees): 8.604 8.602 8.602 90.01 119.99 119.99
Positions (direct):
Ho (0.500, 0.500, 0.000)
Ho (0.500, 0.000, 0.500)
Ho (0.500, 0.500, 0.500)
Tm (0.500, 0.000, 0.000)
Tm (0.000, 0.500, 0.000)
Tm (0.000, 0.000, 0.000)
Tm (0.000, 0.000, 0.500)
Te (0.509, 0.254, 0.254)
Te (0.000, 0.745, 0.255)
Te (0.998, 0.254, 0.254)
Te (0.500, 0.751, 0.249)
Te (0.500, 0.249, 0.751)
Te (0.002, 0.746, 0.746)
Te (0.000, 0.255, 0.745)
Te (0.491, 0.746, 0.746)

=====

(7)
# Ho2Tm2Te3

Ho2Tm2Te3 after structural relaxation (PBE-GGA, Alexandria).

* calculated total energy: -0.1807 Ha/atom
* DOS at the Fermi energy: 0.75 states/eV per atom
* ΔE_f (raw): -0.99 eV/atom

Lattice parameters (Å, degrees): 4.078 7.380 7.299 100.92 90.01 106.05
Positions (direct):
Ho (0.891, 0.783, 0.595)
Ho (0.109, 0.217, 0.405)
Tm (0.616, 0.231, 0.823)
Tm (0.384, 0.769, 0.177)
Te (0.000, 0.000, 0.000)
Te (0.732, 0.464, 0.236)
Te (0.268, 0.536, 0.764)

=====

(8)
# Ho2TmTe4

Ho2TmTe4 after structural relaxation (PBE-GGA, Alexandria).

* calculated total energy: -0.1873 Ha/atom
* DOS at the Fermi energy: 0.48 states/eV per atom
* ΔE_f (raw): -1.36 eV/atom
* relative energy among the computed polymorphs: 0.0 meV/atom

Lattice parameters (Å, degrees): 4.313 7.527 8.362 117.00 104.94 90.00
Positions (direct):
Ho (0.744, 0.759, 0.488)
Ho (0.256, 0.241, 0.512)
Tm (0.000, 0.000, 0.000)
Te (0.881, 0.213, 0.762)
Te (0.119, 0.787, 0.238)
Te (0.627, 0.291, 0.255)
Te (0.373, 0.709, 0.745)